[1]
First-principles (PBE) data for an optimized crystal structure of MgAg2Te, as listed in Alexandria via LeMat-Bulk.

Structure (extended XYZ):
```
4
Lattice="5.4812 -0.0090 0.0942 3.9979 3.7496 0.0942 0.7178 0.2833 4.2674" Properties=species:S:1:pos:R:3 pbc="T T T"
Ag 0.0205 0.0081 0.0556
Ag 5.0780 2.0039 2.1723
Mg 2.5492 1.0060 1.1140
Te 7.6477 3.0180 3.3419
```

Raw formation energy: -109 meV per atom
SG: C2/m, No. 12
Final energy: -0.19980 Ry per atom
Total magnetization: 0.000 μB per formula unit

***

[2]
First-principles (PBE) data for an optimized crystal structure of AlAu2O, as listed in Alexandria via LeMat-Bulk.

Structure (extended XYZ):
```
4
Lattice="0.0000 3.0884 3.0884 3.0884 0.0000 3.0884 3.0884 3.0884 0.0000" Properties=species:S:1:pos:R:3 pbc="T T T"
Au 1.5442 1.5442 1.5442
Au 4.6327 4.6327 4.6327
Al 3.0884 3.0884 3.0884
O 0.0000 0.0000 0.0000
```

Raw formation energy: 51 meV per atom
SG: Fm-3m, No. 225
Final energy: -0.27654 Ry per atom
Total magnetization: 0.306 μB per formula unit

***

[3]
First-principles (PBE) data for an optimized crystal structure of CoCl, as listed in Alexandria via LeMat-Bulk.

Structure (extended XYZ):
```
16
Lattice="-0.5040 -6.1093 1.4374 3.8867 -0.6357 -1.3388 3.9581 2.1381 10.4753" Properties=species:S:1:pos:R:3 pbc="T T T"
Co 1.5139 -2.2725 4.9827
Co 4.1238 0.8961 5.5753
Co 2.1999 -3.1339 0.9212
Co 6.8438 -4.7035 9.6686
Co 3.0242 -3.0604 3.2136
Co 6.4618 0.5832 6.1150
Co 0.7291 -2.3525 2.6767
Co 4.4664 -4.3841 9.1425
Cl 1.9029 -0.0160 5.4154
Cl 3.5705 -3.3521 5.6112
Cl 1.5854 -5.3535 0.5661
Cl 7.6226 -0.4922 9.5550
Cl 2.5784 -1.0840 2.1562
Cl 2.8568 -2.7462 8.9791
Cl 4.3548 -4.8490 2.6387
Cl 4.8914 -0.5347 7.3737
```

Raw formation energy: -105 meV per atom
SG: P2_12_12_1, No. 19
Final energy: -0.33673 Ry per atom
Total magnetization: 2.000 μB per formula unit